MnIrPdO after structural relaxation. Source: Alexandria, functional PBE+U.

Cell: 2.889 2.894 13.440 Å, 90.00 90.00 90.00°
Space group Imm2 (No. 44)
One atom of each set of equivalent atoms:
1 Mn 0.000 0.000 0.000
2 Ir 0.000 0.000 0.279
3 Pd 0.000 0.000 0.637
4 O 0.000 0.500 0.387

Results
energy above the lowest structure with this stoichiometry	144	meV per atom
calculated volume	14.044	Å³ per atom
E	-6.8659	eV/atom